This record from the Open Quantum Materials Database describes a relaxed structure of ZrCuNiAs. The functional is PBE-GGA.

a b c (Å): 4.429 4.429 4.429
angles (deg): 60.00 60.00 60.00
Sites, in units of the cell vectors:
Zr: 0.000 0.000 0.000
Cu: 0.500 0.500 0.500
Ni: 0.750 0.750 0.750
As: 0.250 0.250 0.250

Calculated values
The relative energy among the computed polymorphs comes out at 0 meV per atom.



This record from the Open Quantum Materials Database describes a relaxed structure of PrNpCu2As2P2. The functional is PBE-GGA.

a b c (Å): 3.866 3.866 9.894
angles (deg): 90.00 90.00 90.00
Sites, in units of the cell vectors:
Pr: 0.000 0.000 0.000
Np: 0.500 0.500 0.484
Cu: 0.000 0.500 0.734
Cu: 0.500 0.000 0.734
As: 0.000 0.500 0.249
As: 0.500 0.000 0.249
P: 0.000 0.000 0.577
P: 0.500 0.500 0.876

Calculated values
The total energy is -6.259 eV/atom.



This record from the Open Quantum Materials Database describes a relaxed structure of CuAsOsPb. The functional is PBE-GGA.

a b c (Å): 4.614 4.614 4.614
angles (deg): 60.00 60.00 60.00
Sites, in units of the cell vectors:
Cu: 0.000 0.000 0.000
As: 0.750 0.750 0.750
Os: 0.500 0.500 0.500
Pb: 0.250 0.250 0.250

Calculated values
The relative energy among the computed polymorphs comes out at 0 meV per atom.



This record from the Open Quantum Materials Database describes a relaxed structure of CuAsOsPb. The functional is PBE-GGA.

a b c (Å): 4.651 4.651 4.651
angles (deg): 60.00 60.00 60.00
Sites, in units of the cell vectors:
Cu: 0.000 0.000 0.000
As: 0.500 0.500 0.500
Os: 0.750 0.750 0.750
Pb: 0.250 0.250 0.250

Calculated values
The relative energy among the computed polymorphs comes out at 162 meV per atom.